Record 1
Entry from the Alexandria database: a geometry-optimized SmTh4Sb6 structure (GGA-PBE).

- E (eV/atom) = -6.1817
- calculated volume (Å³ per atom) = 31.10
- DOS(E_F) (states/eV per cell) = 29.50

Unit cell a=12.4217 b=12.4217 c=15.3632 alpha=90.00 beta=90.00 gamma=120.00
Space group R-3c (No. 167, hexagonal axes)
Symmetry-distinct sites (fractional):
Sm 0.0000 0.0000 0.0000 [6 per cell]
Th 0.0000 0.0000 0.2500 [6 per cell]
Th 0.0000 0.3926 0.2500 [18 per cell]
Sb 0.0358 0.2151 0.3842 [36 per cell]


Record 2
Entry from the Alexandria database: a geometry-optimized Sm2ThSb structure (GGA-PBE).

- E (eV/atom) = -5.7457
- calculated volume (Å³ per atom) = 29.90
- DOS(E_F) (states/eV per cell) = 4.27

Unit cell a=3.9864 b=3.9864 c=7.5265 alpha=90.00 beta=90.00 gamma=90.00
Space group P4/mmm (No. 123)
Symmetry-distinct sites (fractional):
Sm 0.0000 0.0000 0.2197 [2 per cell]
Th 0.5000 0.5000 0.5000 [1 per cell]
Sb 0.5000 0.5000 0.0000 [1 per cell]


Record 3
Entry from the Alexandria database: a geometry-optimized SmTh2Sb3 structure (GGA-PBE).

- E (eV/atom) = -6.3268
- calculated volume (Å³ per atom) = 32.11
- DOS(E_F) (states/eV per cell) = 6.10

Unit cell a=4.4887 b=6.3563 c=13.5048 alpha=90.00 beta=90.00 gamma=90.00
Space group Immm (No. 71)
Symmetry-distinct sites (fractional):
Sm 0.0000 0.0000 0.0000 [2 per cell]
Th 0.0000 0.0000 0.3335 [4 per cell]
Sb 0.0000 0.5000 0.0000 [2 per cell]
Sb 0.0000 0.5000 0.3347 [4 per cell]


Record 4
Entry from the Alexandria database: a geometry-optimized Sm4ThSb5 structure (GGA-PBE).

- E (eV/atom) = -5.8244
- calculated volume (Å³ per atom) = 31.81
- DOS(E_F) (states/eV per cell) = 5.19

Unit cell a=4.4828 b=4.4828 c=31.6625 alpha=90.00 beta=90.00 gamma=90.00
Space group I4/mmm (No. 139)
Symmetry-distinct sites (fractional):
Sm 0.0000 0.0000 0.1017 [4 per cell]
Sm 0.0000 0.0000 0.2995 [4 per cell]
Th 0.0000 0.0000 0.5000 [2 per cell]
Sb 0.0000 0.0000 0.0000 [2 per cell]
Sb 0.0000 0.0000 0.2001 [4 per cell]
Sb 0.0000 0.0000 0.4000 [4 per cell]


Record 5
Entry from the Alexandria database: a geometry-optimized Sm3Th5Sb12 structure (GGA-PBE).

- E (eV/atom) = -5.3547
- calculated volume (Å³ per atom) = 38.02
- DOS(E_F) (states/eV per cell) = 92.41

Unit cell a=18.2541 b=18.2541 c=18.2541 alpha=90.00 beta=90.00 gamma=90.00
Space group Ia-3d (No. 230)
Symmetry-distinct sites (fractional):
Sm 0.0000 0.2500 0.1250 [24 per cell]
Th 0.0000 0.0000 0.0000 [16 per cell]
Th 0.0000 0.2500 0.3750 [24 per cell]
Sb 0.0143 0.0797 0.6568 [96 per cell]


Record 6
Entry from the Alexandria database: a geometry-optimized Sm3TmTh2Sb6 structure (GGA-PBE).

- E (eV/atom) = -5.9272
- calculated volume (Å³ per atom) = 31.45
- DOS(E_F) (states/eV per cell) = 9.28

Unit cell a=19.4615 b=4.4711 c=8.9183 alpha=90.00 beta=103.39 gamma=90.00
Space group C2/m (No. 12)
Symmetry-distinct sites (fractional):
Sm 0.0000 0.0000 0.0000 [2 per cell]
Sm 0.1676 0.5000 0.3344 [4 per cell]
Tm 0.0000 0.0000 0.5000 [2 per cell]
Th 0.1646 0.5000 0.8308 [4 per cell]
Sb 0.0016 0.5000 0.2572 [4 per cell]
Sb 0.1639 0.0000 0.5796 [4 per cell]
Sb 0.1666 0.0000 0.0849 [4 per cell]


Record 7
Entry from the Alexandria database: a geometry-optimized SmTm2ThSb4 structure (GGA-PBE).

- E (eV/atom) = -5.7628
- calculated volume (Å³ per atom) = 30.38
- DOS(E_F) (states/eV per cell) = 1.75

Unit cell a=7.6200 b=4.4229 c=7.6498 alpha=90.00 beta=109.52 gamma=90.00
Space group P2/m (No. 10)
Symmetry-distinct sites (fractional):
Sm 0.0000 0.0000 0.0000 [1 per cell]
Tm 0.5000 0.0000 0.5000 [1 per cell]
Tm 0.5000 0.5000 0.0000 [1 per cell]
Th 0.0000 0.5000 0.5000 [1 per cell]
Sb 0.2599 0.5000 0.2525 [2 per cell]
Sb 0.2613 0.0000 0.7550 [2 per cell]


Record 8
Entry from the Alexandria database: a geometry-optimized SmTmTh2Sb5 structure (GGA-PBE).

- E (eV/atom) = -5.2004
- calculated volume (Å³ per atom) = 34.97
- DOS(E_F) (states/eV per cell) = 5.30

Unit cell a=5.2196 b=5.2196 c=11.5521 alpha=90.00 beta=90.00 gamma=90.00
Space group P4/mmm (No. 123)
Symmetry-distinct sites (fractional):
Sm 0.0000 0.0000 0.0000 [1 per cell]
Tm 0.0000 0.0000 0.5000 [1 per cell]
Th 0.5000 0.5000 0.3001 [2 per cell]
Sb 0.0000 0.0000 0.2508 [2 per cell]
Sb 0.0000 0.5000 0.5000 [2 per cell]
Sb 0.5000 0.5000 0.0000 [1 per cell]


Record 9
Entry from the Alexandria database: a geometry-optimized SmTmTh2Sb4 structure (GGA-PBE).

- E (eV/atom) = -6.0796
- calculated volume (Å³ per atom) = 31.26
- DOS(E_F) (states/eV per cell) = 4.32

Unit cell a=7.6840 b=4.4671 c=7.7377 alpha=90.00 beta=109.67 gamma=90.00
Space group P2/m (No. 10)
Symmetry-distinct sites (fractional):
Sm 0.0000 0.0000 0.0000 [1 per cell]
Tm 0.0000 0.5000 0.5000 [1 per cell]
Th 0.5000 0.0000 0.5000 [1 per cell]
Th 0.5000 0.5000 0.0000 [1 per cell]
Sb 0.2406 0.0000 0.7430 [2 per cell]
Sb 0.2436 0.5000 0.2517 [2 per cell]


Record 10
Entry from the Alexandria database: a geometry-optimized SmTh2ZrSb5 structure (GGA-PBE).

- E (eV/atom) = -5.3455
- calculated volume (Å³ per atom) = 35.61
- DOS(E_F) (states/eV per cell) = 3.76

Unit cell a=5.3421 b=5.3421 c=11.2317 alpha=90.00 beta=90.00 gamma=90.00
Space group P4/mmm (No. 123)
Symmetry-distinct sites (fractional):
Sm 0.0000 0.0000 0.0000 [1 per cell]
Th 0.5000 0.5000 0.1948 [2 per cell]
Zr 0.0000 0.0000 0.5000 [1 per cell]
Sb 0.0000 0.0000 0.2603 [2 per cell]
Sb 0.0000 0.5000 0.0000 [2 per cell]
Sb 0.5000 0.5000 0.5000 [1 per cell]


Record 11
Entry from the Alexandria database: a geometry-optimized SmTiSb2 structure (GGA-PBE).

- E (eV/atom) = -5.9327
- calculated volume (Å³ per atom) = 26.33
- DOS(E_F) (states/eV per cell) = 7.60

Unit cell a=4.1966 b=4.1966 c=20.7159 alpha=90.00 beta=90.00 gamma=120.00
Space group R-3m (No. 166, hexagonal axes)
Symmetry-distinct sites (fractional):
Sm 0.0000 0.0000 0.0000 [3 per cell]
Ti 0.0000 0.0000 0.5000 [3 per cell]
Sb 0.0000 0.0000 0.2385 [6 per cell]


Record 12
Entry from the Alexandria database: a geometry-optimized SmTiSb3 structure (GGA-PBE).

- E (eV/atom) = -5.6981
- calculated volume (Å³ per atom) = 25.69
- DOS(E_F) (states/eV per cell) = 11.12

Unit cell a=13.1641 b=6.3129 c=6.1814 alpha=90.00 beta=90.00 gamma=90.00
Space group Pbcm (No. 57)
Symmetry-distinct sites (fractional):
Sm 0.1847 0.0081 0.2500 [4 per cell]
Ti 0.4086 0.7500 0.0000 [4 per cell]
Sb 0.0025 0.7500 0.0000 [4 per cell]
Sb 0.2716 0.5037 0.2500 [4 per cell]
Sb 0.4273 0.1113 0.2500 [4 per cell]


Record 13
Entry from the Alexandria database: a geometry-optimized SmTiSb2 structure (GGA-PBE).

- E (eV/atom) = -5.6683
- calculated volume (Å³ per atom) = 28.02
- DOS(E_F) (states/eV per cell) = 6.17

Unit cell a=4.1880 b=4.1880 c=12.7788 alpha=90.00 beta=90.00 gamma=90.00
Space group I-4m2 (No. 119)
Symmetry-distinct sites (fractional):
Sm 0.0000 0.0000 0.0000 [2 per cell]
Ti 0.0000 0.5000 0.7500 [2 per cell]
Sb 0.0000 0.0000 0.3792 [4 per cell]


Record 14
Entry from the Alexandria database: a geometry-optimized SmTl2Sb structure (GGA-PBE).

- E (eV/atom) = -3.8016
- calculated volume (Å³ per atom) = 28.16
- DOS(E_F) (states/eV per cell) = 1.89

Unit cell a=4.7635 b=4.7635 c=4.9649 alpha=90.00 beta=90.00 gamma=90.00
Space group P4/mmm (No. 123)
Symmetry-distinct sites (fractional):
Sm 0.0000 0.0000 0.0000 [1 per cell]
Tl 0.0000 0.5000 0.5000 [2 per cell]
Sb 0.5000 0.5000 0.0000 [1 per cell]


Record 15
Entry from the Alexandria database: a geometry-optimized SmTlSb2 structure (GGA-PBE).

- E (eV/atom) = -4.2884
- calculated volume (Å³ per atom) = 28.07
- DOS(E_F) (states/eV per cell) = 1.98

Unit cell a=5.0021 b=5.0021 c=4.4871 alpha=90.00 beta=90.00 gamma=90.00
Space group P4/mmm (No. 123)
Symmetry-distinct sites (fractional):
Sm 0.0000 0.0000 0.0000 [1 per cell]
Tl 0.5000 0.5000 0.0000 [1 per cell]
Sb 0.0000 0.5000 0.5000 [2 per cell]


Record 16
Entry from the Alexandria database: a geometry-optimized Sm4Tl2Sb structure (GGA-PBE).

- E (eV/atom) = -4.5132
- calculated volume (Å³ per atom) = 30.58
- DOS(E_F) (states/eV per cell) = 24.58

Unit cell a=9.4883 b=9.4883 c=9.5105 alpha=90.00 beta=90.00 gamma=90.00
Space group I-42d (No. 122)
Symmetry-distinct sites (fractional):
Sm 0.0713 0.1803 0.3036 [16 per cell]
Tl 0.1233 0.2500 0.6250 [8 per cell]
Sb 0.0000 0.0000 0.0000 [4 per cell]


Record 17
Entry from the Alexandria database: a geometry-optimized Sm8Tl2Sb structure (GGA-PBE).

- E (eV/atom) = -4.4463
- calculated volume (Å³ per atom) = 31.58
- DOS(E_F) (states/eV per cell) = 26.44

Unit cell a=8.8505 b=14.9788 c=5.6731 alpha=90.00 beta=112.53 gamma=90.00
Space group C2/m (No. 12)
Symmetry-distinct sites (fractional):
Sm 0.0000 0.2198 0.0000 [4 per cell]
Sm 0.1022 0.5000 0.7965 [4 per cell]
Sm 0.1990 0.1100 0.6098 [8 per cell]
Tl 0.0000 0.3073 0.5000 [4 per cell]
Sb 0.0000 0.0000 0.0000 [2 per cell]


Record 18
Entry from the Alexandria database: a geometry-optimized Sm10Tl3Sb3 structure (GGA-PBE).

- E (eV/atom) = -4.8004
- calculated volume (Å³ per atom) = 30.60
- DOS(E_F) (states/eV per cell) = 16.92

Unit cell a=9.1767 b=9.1767 c=6.7127 alpha=90.00 beta=90.00 gamma=120.00
Space group P-62m (No. 189)
Symmetry-distinct sites (fractional):
Sm 0.0000 0.2400 0.0000 [3 per cell]
Sm 0.0000 0.7617 0.5000 [3 per cell]
Sm 0.3333 0.6667 0.2483 [4 per cell]
Tl 0.0000 0.3959 0.5000 [3 per cell]
Sb 0.0000 0.6082 0.0000 [3 per cell]


Record 19
Entry from the Alexandria database: a geometry-optimized Sm8TlSb2 structure (GGA-PBE).

- E (eV/atom) = -4.8048
- calculated volume (Å³ per atom) = 31.76
- DOS(E_F) (states/eV per cell) = 24.44

Unit cell a=19.5352 b=5.0146 c=7.2466 alpha=90.00 beta=100.16 gamma=90.00
Space group C2/m (No. 12)
Symmetry-distinct sites (fractional):
Sm 0.0171 0.0000 0.2562 [4 per cell]
Sm 0.0945 0.5000 0.9880 [4 per cell]
Sm 0.1635 0.5000 0.5199 [4 per cell]
Sm 0.2157 0.0000 0.8475 [4 per cell]
Tl 0.0000 0.5000 0.5000 [2 per cell]
Sb 0.1802 0.0000 0.2652 [4 per cell]


Record 20
Entry from the Alexandria database: a geometry-optimized SmTlSb2 structure (GGA-PBE).

- E (eV/atom) = -4.1495
- calculated volume (Å³ per atom) = 33.03
- DOS(E_F) (states/eV per cell) = 8.66

Unit cell a=4.3819 b=4.3819 c=23.8395 alpha=90.00 beta=90.00 gamma=120.00
Space group R-3m (No. 166, hexagonal axes)
Symmetry-distinct sites (fractional):
Sm 0.0000 0.0000 0.0000 [3 per cell]
Tl 0.0000 0.0000 0.5000 [3 per cell]
Sb 0.0000 0.0000 0.2547 [6 per cell]